[1]
# MgTaTi2Ge | Alexandria | PBEsol | optimized geometry
data_MgTaTi2Ge
_symmetry_space_group_name_H-M 'P 4/m m m'
_symmetry_Int_Tables_number 123
_symmetry_space_group_name_Hall '-P 4 2'
_cell_length_a 4.681
_cell_length_b 4.681
_cell_length_c 5.240
_cell_angle_alpha 90.00
_cell_angle_beta 90.00
_cell_angle_gamma 90.00
loop_
_atom_site_label
_atom_site_type_symbol
_atom_site_fract_x
_atom_site_fract_y
_atom_site_fract_z
Mg1 Mg 0.000 0.000 0.000
Ta1 Ta 0.000 0.000 0.500
Ti1 Ti 0.000 0.500 0.500
Ge1 Ge 0.500 0.500 0.000
# Size of the total moment: 0.00 Bohr magnetons per cell
# E: -0.4433 Ry/atom
# ΔE_f: 1.1389 eV per atom

=====

[2]
# Mg2AlIn | Alexandria | PBEsol | optimized geometry
data_Mg2AlIn
_symmetry_space_group_name_H-M 'P 4/m m m'
_symmetry_Int_Tables_number 123
_symmetry_space_group_name_Hall '-P 4 2'
_cell_length_a 4.390
_cell_length_b 4.390
_cell_length_c 4.283
_cell_angle_alpha 90.00
_cell_angle_beta 90.00
_cell_angle_gamma 90.00
loop_
_atom_site_label
_atom_site_type_symbol
_atom_site_fract_x
_atom_site_fract_y
_atom_site_fract_z
Mg1 Mg 0.000 0.500 0.000
Al1 Al 0.000 0.000 0.500
In1 In 0.500 0.500 0.500
# Size of the total moment: 0.00 Bohr magnetons per cell
# E: -0.1965 Ry/atom
# ΔE_f: -0.0458 eV per atom

=====

[3]
# MgAl10O16 | Alexandria | PBEsol | optimized geometry
data_MgAl10O16
_symmetry_space_group_name_H-M 'R 3 m'
_symmetry_Int_Tables_number 160
_symmetry_space_group_name_Hall 'R 3 -2"'
_cell_length_a 5.6775
_cell_length_b 5.6775
_cell_length_c 27.1645
_cell_angle_alpha 90.00
_cell_angle_beta 90.00
_cell_angle_gamma 120.00
loop_
_atom_site_label
_atom_site_type_symbol
_atom_site_fract_x
_atom_site_fract_y
_atom_site_fract_z
Mg1 Mg 0.0000 0.0000 0.0000
Al1 Al 0.0000 0.0000 0.3800
Al2 Al 0.0000 0.0000 0.5004
Al3 Al 0.0000 0.0000 0.6884
Al4 Al 0.0000 0.0000 0.8818
Al5 Al 0.0026 0.5013 0.9374
Al6 Al 0.1719 0.3438 0.7776
O1 O 0.0000 0.0000 0.0728
O2 O 0.0000 0.0000 0.3132
O3 O 0.0000 0.0000 0.5661
O4 O 0.0000 0.0000 0.8131
O5 O 0.0409 0.5205 0.3123
O6 O 0.1673 0.3345 0.1434
O7 O 0.1682 0.3364 0.9045
O8 O 0.1795 0.3590 0.3997
# Size of the total moment: 0.00 Bohr magnetons per cell
# E: -0.5672 Ry/atom